No. 1
First-principles (GGA-PBE) data for a relaxed La7Br12N crystal, as listed in Alexandria via LeMat-Bulk.

N(E_F) = 13.2 states/eV/cell
total moment = 0.4 μB per formula unit
formation energy without anion corrections = -1771 meV per atom
total DFT energy (no corrections) = -4.92 eV/atom
space-group type = R-3, No. 148

The structure in POSCAR format:
```
La7Br12N
1.0
7.5628 4.3664 3.4114
-7.5628 4.3664 3.4114
0.0000 -8.7327 3.4114
La Br N
7 12 1
Cartesian
0.0000 0.0000 0.0000
-1.5085 -1.5100 3.6165
-0.5535 2.0614 3.6165
2.0620 -0.5513 3.6165
-2.0620 0.5513 6.6178
0.5535 -2.0614 6.6178
1.5085 1.5100 6.6178
-2.4293 0.6572 1.6664
0.6455 -2.4324 1.6664
-4.0981 -1.0654 5.0792
-1.1264 -4.0818 5.1551
1.7838 1.7752 1.6664
-2.9717 3.0164 5.1551
2.9717 -3.0164 5.0792
-1.7838 -1.7752 8.5678
1.1264 4.0818 5.0792
4.0981 1.0654 5.1551
-0.6455 2.4324 8.5678
2.4293 -0.6572 8.5678
0.0000 0.0000 5.1171
```



No. 2
First-principles (GGA-PBE) data for a relaxed La6Ni2Br3N crystal, as listed in Alexandria via LeMat-Bulk.

N(E_F) = 3.8 states/eV/cell
total moment = 0.0 μB per formula unit
formation energy without anion corrections = -1039 meV per atom
total DFT energy (no corrections) = -5.58 eV/atom
space-group type = C2/m, No. 12

The structure in POSCAR format:
```
La6Ni2Br3N
1.0
3.4298 -5.9224 0.0000
3.4298 5.9224 0.0000
-1.6465 0.0000 7.8407
La Ni Br N
6 2 3 1
Cartesian
0.4980 1.8162 5.3589
0.8609 0.0000 2.1644
0.4980 -1.8162 5.3589
4.7151 1.8162 2.4818
4.3521 0.0000 5.6763
4.7151 -1.8162 2.4818
2.6065 1.5041 3.9204
2.6065 -1.5041 3.9204
3.4298 3.7113 0.0000
3.4298 0.0000 0.0000
3.4298 -3.7113 0.0000
-0.8232 0.0000 3.9204
```



No. 3
First-principles (GGA-PBE) data for a relaxed La2BrNO crystal, as listed in Alexandria via LeMat-Bulk.

N(E_F) = 0.0 states/eV/cell
total moment = 0.0 μB per formula unit
formation energy without anion corrections = -2341 meV per atom
total DFT energy (no corrections) = -7.30 eV/atom
space-group type = C2/m, No. 12

The structure in POSCAR format:
```
La2BrNO
1.0
6.7841 -2.0574 0.0000
6.7841 2.0574 0.0000
-5.9474 0.0000 8.3644
La Br N O
4 2 2 2
Cartesian
-1.1036 0.0000 2.4548
-1.0904 0.0000 7.8868
8.7112 0.0000 0.4776
8.7244 0.0000 5.9095
2.2059 0.0000 3.2346
5.4149 0.0000 5.1297
-3.5600 0.0000 7.7015
11.1808 0.0000 0.6629
1.2145 0.0000 6.7865
6.4062 0.0000 1.5779
```



No. 4
First-principles (GGA-PBE) data for a relaxed LaBrNO2 crystal, as listed in Alexandria via LeMat-Bulk.

N(E_F) = 0.5 states/eV/cell
total moment = 0.0 μB per formula unit
formation energy without anion corrections = -413 meV per atom
total DFT energy (no corrections) = -5.38 eV/atom
space-group type = P4/mmm, No. 123

The structure in POSCAR format:
```
LaBrNO2
1.0
4.0761 0.0000 0.0000
0.0000 4.0761 0.0000
0.0000 0.0000 4.2405
La Br N O
1 1 1 2
Cartesian
0.0000 0.0000 0.0000
2.0380 2.0380 2.1203
2.0380 2.0380 0.0000
0.0000 2.0380 2.1203
2.0380 0.0000 2.1203
```



No. 5
First-principles (GGA-PBE) data for a relaxed LaBrNO2 crystal, as listed in Alexandria via LeMat-Bulk.

N(E_F) = 2.5 states/eV/cell
total moment = 3.1 μB per formula unit
formation energy without anion corrections = -117 meV per atom
total DFT energy (no corrections) = -5.09 eV/atom
space-group type = P4/mmm, No. 123

The structure in POSCAR format:
```
LaBrNO2
1.0
4.2946 0.0000 0.0000
0.0000 4.2946 0.0000
0.0000 0.0000 6.6399
La Br N O
1 1 1 2
Cartesian
0.0000 0.0000 0.0000
2.1473 2.1473 3.3199
0.0000 0.0000 3.3199
0.0000 2.1473 0.0000
2.1473 0.0000 0.0000
```



No. 6
First-principles (GGA-PBE) data for a relaxed La6Os2Br3N crystal, as listed in Alexandria via LeMat-Bulk.

N(E_F) = 9.4 states/eV/cell
total moment = 0.0 μB per formula unit
formation energy without anion corrections = -1025 meV per atom
total DFT energy (no corrections) = -6.47 eV/atom
space-group type = C2/m, No. 12

The structure in POSCAR format:
```
La6Os2Br3N
1.0
3.5385 -6.1016 0.0000
3.5385 6.1016 0.0000
-2.3823 0.0000 7.8285
La Os Br N
6 2 3 1
Cartesian
1.1013 1.9206 1.4765
-0.1308 0.0000 6.3428
1.1013 -1.9206 1.4765
3.5935 1.9206 6.3520
4.8255 0.0000 1.4857
3.5935 -1.9206 6.3520
3.5385 2.0382 0.0000
3.5385 -2.0382 0.0000
2.3474 4.0297 3.9143
2.3474 0.0000 3.9143
2.3474 -4.0297 3.9143
0.0000 0.0000 0.0000
```



No. 7
First-principles (GGA-PBE) data for a relaxed La8P3Br4N crystal, as listed in Alexandria via LeMat-Bulk.

N(E_F) = 5.9 states/eV/cell
total moment = 0.0 μB per formula unit
formation energy without anion corrections = -1548 meV per atom
total DFT energy (no corrections) = -5.96 eV/atom
space-group type = R-3m, No. 166

The structure in POSCAR format:
```
La8P3Br4N
1.0
4.1565 2.3998 7.4169
-4.1565 2.3998 7.4169
0.0000 -4.7996 7.4169
La P Br N
8 3 4 1
Cartesian
0.0000 0.0000 5.2531
-1.8896 -1.0909 12.5758
0.0000 -2.1819 9.6750
-1.8896 1.0909 9.6750
1.8896 -1.0909 12.5758
0.0000 2.1819 12.5758
1.8896 1.0909 9.6750
0.0000 0.0000 16.9976
-4.1565 0.0000 11.1254
-2.0783 1.1999 3.7085
2.0783 1.1999 3.7085
0.0000 0.0000 0.0000
-2.0783 -1.1999 7.4169
-2.0783 1.1999 14.8338
0.0000 2.3998 7.4169
0.0000 0.0000 11.1254
```



No. 8
First-principles (GGA-PBE) data for a relaxed La8P3Br3N crystal, as listed in Alexandria via LeMat-Bulk.

N(E_F) = 5.4 states/eV/cell
total moment = 0.8 μB per formula unit
formation energy without anion corrections = -1408 meV per atom
total DFT energy (no corrections) = -6.01 eV/atom
space-group type = C2/m, No. 12

The structure in POSCAR format:
```
La8P3Br3N
1.0
7.2101 -4.1697 0.0000
7.2101 4.1697 0.0000
-4.7992 0.0000 7.3383
La P Br N
8 3 3 1
Cartesian
-0.2112 0.0000 5.1262
3.7186 2.2723 5.1259
5.9023 2.2723 2.2124
2.4061 0.0000 2.1268
7.2149 0.0000 5.2115
3.7186 -2.2723 5.1259
5.9023 -2.2723 2.2124
9.8322 0.0000 2.2121
1.2054 2.0848 3.6691
1.2054 -2.0848 3.6691
4.8105 0.0000 3.6691
0.0000 0.0000 0.0000
3.6050 2.0848 0.0000
3.6050 -2.0848 0.0000
-2.3996 0.0000 3.6691
```



No. 9
First-principles (GGA-PBE) data for a relaxed La2PmBr2N2 crystal, as listed in Alexandria via LeMat-Bulk.

N(E_F) = 1.9 states/eV/cell
total moment = 1.0 μB per formula unit
formation energy without anion corrections = -1340 meV per atom
total DFT energy (no corrections) = -6.28 eV/atom
space-group type = I4/mmm, No. 139

The structure in POSCAR format:
```
La2PmBr2N2
1.0
-2.3257 2.3257 8.1517
2.3257 -2.3257 8.1517
2.3257 2.3257 -8.1517
La Pm Br N
2 1 2 2
Cartesian
0.0000 0.0000 1.5182
0.0000 0.0000 14.7852
0.0000 0.0000 8.1517
0.0000 0.0000 5.1477
0.0000 0.0000 11.1557
2.3257 0.0000 0.0000
0.0000 2.3257 0.0000
```



No. 10
First-principles (GGA-PBE) data for a relaxed La2PrBr2N2 crystal, as listed in Alexandria via LeMat-Bulk.

N(E_F) = 2.2 states/eV/cell
total moment = 1.0 μB per formula unit
formation energy without anion corrections = -1256 meV per atom
total DFT energy (no corrections) = -6.20 eV/atom
space-group type = I4/mmm, No. 139

The structure in POSCAR format:
```
La2PrBr2N2
1.0
-2.3609 2.3609 8.0823
2.3609 -2.3609 8.0823
2.3609 2.3609 -8.0823
La Pr Br N
2 1 2 2
Cartesian
0.0000 0.0000 1.5205
0.0000 0.0000 14.6441
0.0000 0.0000 8.0823
0.0000 0.0000 5.0476
0.0000 0.0000 11.1170
2.3609 0.0000 0.0000
0.0000 2.3609 0.0000
```



No. 11
First-principles (GGA-PBE) data for a relaxed LaPrBrN crystal, as listed in Alexandria via LeMat-Bulk.

N(E_F) = 1.1 states/eV/cell
total moment = 0.0 μB per formula unit
formation energy without anion corrections = -1409 meV per atom
total DFT energy (no corrections) = -6.34 eV/atom
space-group type = Cm, No. 8

The structure in POSCAR format:
```
LaPrBrN
1.0
3.2487 -1.8842 0.0000
3.2487 1.8842 0.0000
-2.1691 0.0000 7.5762
La Pr Br N
1 1 1 1
Cartesian
0.0000 0.0000 0.0000
4.3301 0.0000 2.7307
0.0006 0.0000 5.0815
2.1649 0.0000 1.3587
```



No. 12
First-principles (GGA-PBE) data for a relaxed LaPrBr2N crystal, as listed in Alexandria via LeMat-Bulk.

N(E_F) = 5.2 states/eV/cell
total moment = 0.3 μB per formula unit
formation energy without anion corrections = -1404 meV per atom
total DFT energy (no corrections) = -5.68 eV/atom
space-group type = P4/nmm, No. 129

The structure in POSCAR format:
```
LaPrBr2N
1.0
4.2603 0.0000 0.0000
0.0000 4.2603 0.0000
0.0000 0.0000 15.0903
La Pr Br N
2 2 4 2
Cartesian
1.0651 1.0651 1.3577
3.1952 3.1952 13.7326
1.0651 1.0651 8.6085
3.1952 3.1952 6.4818
1.0651 1.0651 4.3095
1.0651 1.0651 13.2587
3.1952 3.1952 1.8316
3.1952 3.1952 10.7808
1.0651 3.1952 7.5452
3.1952 1.0651 7.5452
```